Entry 1:
A plane-wave DFT calculation with PBE was carried out for a relaxed LaY4Ho7 crystal.

Computed properties:
The space-group type is C2/m, No. 12. The calculation puts the formation energy at 310 kJ/mol of formula units.

extended XYZ file:
```
12
Lattice="6.040 -2.943 0.000 6.040 2.943 0.000 -5.941 0.000 11.167" Properties=species:S:1:pos:R:3 pbc="T T T"
La 0.000 0.000 0.000
Y -1.008 0.000 7.654
Y 3.150 0.000 2.512
Y 2.989 0.000 8.655
Y 7.147 0.000 3.513
Ho -1.287 0.000 3.737
Ho -2.943 0.000 10.299
Ho 1.475 0.000 5.529
Ho 6.040 0.000 0.000
Ho 4.665 0.000 5.638
Ho 9.082 0.000 0.868
Ho 7.427 0.000 7.429
```

=====

Entry 2:
A plane-wave DFT calculation with PBE was carried out for a relaxed Pm3IrBr2 crystal.

Computed properties:
The space-group type is Immm, No. 71. As for the formation energy without anion corrections: -1104 meV/atom.

extended XYZ file:
```
6
Lattice="-2.050 2.964 7.260 2.050 -2.964 7.260 2.050 2.964 -7.260" Properties=species:S:1:pos:R:3 pbc="T T T"
Pm 0.000 0.000 0.000
Pm 0.000 0.000 5.426
Pm 0.000 0.000 9.095
Ir 0.000 2.964 0.000
Br 2.050 0.000 2.693
Br 0.000 2.964 4.567
```

=====

Entry 3:
A plane-wave DFT calculation with PBE was carried out for a relaxed SrCePb crystal.

Computed properties:
The space-group type is P-1, No. 2. The calculation puts the formation energy at -83 kJ/mol of formula units.

extended XYZ file:
```
6
Lattice="4.543 0.000 0.000 2.264 5.390 0.000 0.018 3.078 8.268" Properties=species:S:1:pos:R:3 pbc="T T T"
Sr 1.144 1.244 0.867
Sr 5.680 7.224 7.401
Ce 1.142 2.992 4.601
Ce 5.682 5.476 3.667
Pb 3.411 5.017 6.061
Pb 3.413 3.451 2.207
```

=====

Entry 4:
A plane-wave DFT calculation with PBE was carried out for a relaxed CuMoIr2N crystal.

Computed properties:
The space-group type is P4/mmm, No. 123. As for the formation energy without anion corrections: 710 meV/atom.

extended XYZ file:
```
5
Lattice="4.049 0.000 0.000 0.000 4.049 0.000 0.000 0.000 4.038" Properties=species:S:1:pos:R:3 pbc="T T T"
Cu 0.000 0.000 0.000
Mo 2.024 2.024 0.000
Ir 0.000 2.024 2.019
Ir 2.024 0.000 2.019
N 0.000 0.000 2.019
```

=====

Entry 5:
A plane-wave DFT calculation with PBE was carried out for a relaxed AlIn2SbSe6 crystal.

Computed properties:
The space-group type is C2/c, No. 15. As for the formation energy without anion corrections: -511 meV/atom.

extended XYZ file:
```
20
Lattice="7.535 -6.976 0.000 7.535 6.976 0.000 -2.604 0.000 6.614" Properties=species:S:1:pos:R:3 pbc="T T T"
Al 5.582 4.610 4.961
Al 6.884 -4.610 1.654
In 5.431 1.342 2.602
In 8.338 1.342 0.705
In 4.129 -1.342 5.909
In 7.036 -1.342 4.012
Sb 6.884 5.905 1.654
Sb 5.582 -5.905 4.961
Se 1.211 0.816 1.199
Se 4.541 3.691 3.013
Se -0.091 -0.816 4.506
Se 3.153 1.039 6.552
Se 9.227 3.691 0.294
Se 4.455 -1.039 3.245
Se 8.012 1.039 3.369
Se 3.240 -3.691 6.320
Se 9.314 -1.039 0.062
Se 12.558 0.816 2.108
Se 7.925 -3.691 3.601
Se 11.256 -0.816 5.415
```

=====

Entry 6:
A plane-wave DFT calculation with PBE was carried out for a relaxed NaLa2Hf crystal.

Computed properties:
The space-group type is Fm-3m, No. 225. The value obtained for the energy above the most stable polymorph in this dataset is 0.251 eV per atom. The calculation puts the formation energy at 158 kJ/mol of formula units.

extended XYZ file:
```
4
Lattice="0.000 3.943 3.943 3.943 0.000 3.943 3.943 3.943 0.000" Properties=species:S:1:pos:R:3 pbc="T T T"
Na 0.000 0.000 0.000
La 1.971 1.971 1.971
La 5.914 5.914 5.914
Hf 3.943 3.943 3.943
```

=====

Entry 7:
A plane-wave DFT calculation with PBE was carried out for a relaxed La3PmPr2Nd6 crystal.

Computed properties:
The space-group type is C2/m, No. 12. The calculation puts the formation energy at 15 kJ/mol of formula units.

extended XYZ file:
```
12
Lattice="3.209 -5.562 0.000 3.209 5.562 0.000 -2.162 0.000 12.064" Properties=species:S:1:pos:R:3 pbc="T T T"
La 0.000 0.000 0.000
La 3.209 1.856 0.000
La 3.209 -1.856 0.000
Pm 2.128 0.000 6.032
Pr 2.128 3.707 6.032
Pr 2.128 -3.707 6.032
Nd 1.067 1.851 3.035
Nd -0.016 0.000 9.030
Nd 1.067 -1.851 3.035
Nd 3.189 1.851 9.029
Nd 4.271 0.000 3.034
Nd 3.189 -1.851 9.029
```

=====

Entry 8:
A plane-wave DFT calculation with PBE was carried out for a relaxed Pm3SnH crystal.

Computed properties:
The space-group type is Pm-3m, No. 221. The value obtained for the energy above the most stable polymorph in this dataset is 0.000 eV per atom.

extended XYZ file:
```
5
Lattice="4.936 0.000 0.000 0.000 4.936 0.000 0.000 0.000 4.936" Properties=species:S:1:pos:R:3 pbc="T T T"
Pm 0.000 0.000 2.468
Pm 0.000 2.468 0.000
Pm 2.468 0.000 0.000
Sn 2.468 2.468 2.468
H 0.000 0.000 0.000
```

=====

Entry 9:
A plane-wave DFT calculation with PBE was carried out for a relaxed ZnCoIr4 crystal.

Computed properties:
The space-group type is F-43m, No. 216. The calculation puts the formation energy at 304 kJ/mol of formula units.

extended XYZ file:
```
6
Lattice="0.000 3.636 3.636 3.636 0.000 3.636 3.636 3.636 0.000" Properties=species:S:1:pos:R:3 pbc="T T T"
Zn 0.000 0.000 0.000
Co 1.818 1.818 1.818
Ir 4.544 2.727 2.727
Ir 2.727 4.544 2.727
Ir 2.727 2.727 4.544
Ir 4.544 4.544 4.544
```

=====

Entry 10:
A plane-wave DFT calculation with PBE was carried out for a relaxed Rb2PmRh2O7 crystal.

Computed properties:
The space-group type is I4/mmm, No. 139. As for the formation energy without anion corrections: -1405 meV/atom.

extended XYZ file:
```
12
Lattice="-2.015 2.015 10.952 2.015 -2.015 10.952 2.015 2.015 -10.952" Properties=species:S:1:pos:R:3 pbc="T T T"
Rb 0.000 0.000 4.055
Rb 0.000 0.000 17.849
Pm 0.000 0.000 0.000
Rh 0.000 0.000 8.953
Rh 0.000 0.000 12.951
O 2.015 0.000 1.615
O 0.000 0.000 7.078
O 2.015 0.000 9.337
O 0.000 0.000 10.952
O 0.000 2.015 1.615
O 0.000 0.000 14.826
O 0.000 2.015 9.337
```

=====

Entry 11:
A plane-wave DFT calculation with PBE was carried out for a relaxed YRhN2 crystal.

Computed properties:
The space-group type is R-3m, No. 166. The value obtained for the energy above the most stable polymorph in this dataset is 0.129 eV per atom. As for the formation energy without anion corrections: -209 meV/atom.

extended XYZ file:
```
4
Lattice="1.815 1.048 5.818 -1.815 1.048 5.818 0.000 -2.095 5.818" Properties=species:S:1:pos:R:3 pbc="T T T"
Y 0.000 0.000 0.000
Rh 0.000 0.000 8.727
N 0.000 0.000 6.894
N 0.000 0.000 10.561
```

=====

Entry 12:
A plane-wave DFT calculation with PBE was carried out for a relaxed Na3LiBe crystal.

Computed properties:
The space-group type is Pm-3m, No. 221. The value obtained for the energy above the most stable polymorph in this dataset is 0.000 eV per atom. The calculation puts the formation energy at 263 kJ/mol of formula units.

extended XYZ file:
```
5
Lattice="5.466 0.000 0.000 0.000 5.466 0.000 0.000 0.000 5.466" Properties=species:S:1:pos:R:3 pbc="T T T"
Na 0.000 0.000 2.733
Na 0.000 2.733 0.000
Na 2.733 0.000 0.000
Li 2.733 2.733 2.733
Be 0.000 0.000 0.000
```

=====

Entry 13:
A plane-wave DFT calculation with PBE was carried out for a relaxed Au7C6 crystal.

Computed properties:
The space-group type is R-3m, No. 166. The calculation puts the formation energy at 1689 kJ/mol of formula units.

extended XYZ file:
```
13
Lattice="3.403 1.965 6.833 -3.403 1.965 6.833 0.000 -3.929 6.833" Properties=species:S:1:pos:R:3 pbc="T T T"
Au 0.000 0.000 0.000
Au 0.000 -1.931 4.789
Au -1.672 0.966 4.789
Au -1.672 -0.966 15.712
Au 1.672 0.966 4.789
Au 1.672 -0.966 15.712
Au 0.000 1.931 15.712
C 0.000 0.000 2.255
C 0.000 0.000 5.703
C 0.000 0.000 7.002
C 0.000 0.000 13.499
C 0.000 0.000 14.797
C 0.000 0.000 18.245
```

=====

Entry 14:
A plane-wave DFT calculation with PBE was carried out for a relaxed TaZnTe crystal.

Computed properties:
The space-group type is F-43m, No. 216. The value obtained for the energy above the most stable polymorph in this dataset is 0.701 eV per atom. As for the formation energy without anion corrections: 776 meV/atom.

extended XYZ file:
```
3
Lattice="0.000 3.248 3.248 3.248 0.000 3.248 3.248 3.248 0.000" Properties=species:S:1:pos:R:3 pbc="T T T"
Ta 0.000 0.000 0.000
Zn 3.248 3.248 3.248
Te 1.624 1.624 1.624
```

=====

Entry 15:
A plane-wave DFT calculation with PBE was carried out for a relaxed Sr2Hg3Bi2 crystal.

Computed properties:
The space-group type is I2_13, No. 199. The value obtained for the energy above the most stable polymorph in this dataset is 0.228 eV per atom. The calculation puts the formation energy at -190 kJ/mol of formula units.

extended XYZ file:
```
14
Lattice="-4.882 4.882 4.882 4.882 -4.882 4.882 4.882 4.882 -4.882" Properties=species:S:1:pos:R:3 pbc="T T T"
Sr 2.464 2.418 -2.418
Sr 2.418 -2.418 2.464
Sr 2.418 2.418 2.418
Sr -2.418 2.464 2.418
Hg 2.441 0.043 0.000
Hg 4.882 2.441 -0.043
Hg 0.043 0.000 2.441
Hg 0.000 2.441 0.043
Hg 2.441 -0.043 4.882
Hg -0.043 4.882 2.441
Bi 5.438 -0.556 0.556
Bi 0.556 5.438 -0.556
Bi -0.556 0.556 5.438
Bi 4.327 4.327 4.327
```

=====

Entry 16:
A plane-wave DFT calculation with PBE was carried out for a relaxed BaPm2ZnO5 crystal.

Computed properties:
The space-group type is I4/mcm, No. 140. As for the formation energy without anion corrections: -2775 meV/atom.

extended XYZ file:
```
18
Lattice="-3.384 3.384 5.838 3.384 -3.384 5.838 3.384 3.384 -5.838" Properties=species:S:1:pos:R:3 pbc="T T T"
Ba 0.000 0.000 2.919
Ba 0.000 0.000 8.757
Pm 4.564 1.180 0.000
Pm 1.180 2.204 0.000
Pm 2.204 1.180 5.838
Pm -1.180 2.204 5.838
Zn 3.384 0.000 2.919
Zn 0.000 3.384 2.919
O 0.000 0.000 0.000
O 2.406 0.979 -1.511
O 2.406 -0.979 4.327
O 2.406 0.979 1.511
O 2.406 -0.979 7.350
O 0.000 0.000 5.838
O 0.979 4.363 -1.511
O 0.979 2.406 4.327
O 0.979 4.363 1.511
O 0.979 2.406 7.350
```

=====

Entry 17:
A plane-wave DFT calculation with PBE was carried out for a relaxed RbCdAsIr crystal.

Computed properties:
The space-group type is P4/nmm, No. 129. The calculation puts the formation energy at -111 kJ/mol of formula units.

extended XYZ file:
```
8
Lattice="4.095 0.000 0.000 0.000 4.095 0.000 0.000 0.000 13.601" Properties=species:S:1:pos:R:3 pbc="T T T"
Rb 1.024 1.024 3.395
Rb 3.071 3.071 10.206
Cd 1.024 3.071 0.000
Cd 3.071 1.024 0.000
As 1.024 1.024 8.195
As 3.071 3.071 5.406
Ir 1.024 3.071 6.800
Ir 3.071 1.024 6.800
```

=====

Entry 18:
A plane-wave DFT calculation with PBE was carried out for a relaxed Li2YMg2 crystal.

Computed properties:
The space-group type is P4/mbm, No. 127. The value obtained for the energy above the most stable polymorph in this dataset is 0.074 eV per atom. The calculation puts the formation energy at 32 kJ/mol of formula units.

extended XYZ file:
```
10
Lattice="8.603 0.000 0.000 0.000 8.603 0.000 0.000 0.000 3.159" Properties=species:S:1:pos:R:3 pbc="T T T"
Li 1.441 2.860 0.000
Li 2.860 7.162 0.000
Li 5.743 1.441 0.000
Li 7.162 5.743 0.000
Y 0.000 0.000 1.580
Y 4.302 4.302 1.580
Mg 1.116 5.418 1.580
Mg 3.186 1.116 1.580
Mg 5.418 7.487 1.580
Mg 7.487 3.186 1.580
```

=====

Entry 19:
A plane-wave DFT calculation with PBE was carried out for a relaxed Li5La2Cd5 crystal.

Computed properties:
The space-group type is Pmmm, No. 47. The calculation puts the formation energy at -274 kJ/mol of formula units.

extended XYZ file:
```
12
Lattice="4.853 0.000 0.000 0.000 5.607 0.000 0.000 0.000 10.167" Properties=species:S:1:pos:R:3 pbc="T T T"
Li 0.000 0.000 0.000
Li 0.000 1.391 2.581
Li 0.000 1.391 7.586
Li 0.000 4.215 2.581
Li 0.000 4.215 7.586
La 2.427 0.000 5.084
La 2.427 2.803 0.000
Cd 0.000 2.803 5.084
Cd 2.427 0.000 1.692
Cd 2.427 0.000 8.475
Cd 2.427 2.803 3.281
Cd 2.427 2.803 6.887
```

=====

Entry 20:
A plane-wave DFT calculation with PBE was carried out for a relaxed TaInOs2Ru crystal.

Computed properties:
The space-group type is P4/mmm, No. 123. The calculation puts the formation energy at 1071 kJ/mol of formula units.

extended XYZ file:
```
5
Lattice="4.721 0.000 0.000 0.000 4.721 0.000 0.000 0.000 5.175" Properties=species:S:1:pos:R:3 pbc="T T T"
Ta 0.000 0.000 0.000
In 0.000 0.000 2.587
Os 0.000 2.360 0.000
Os 2.360 0.000 0.000
Ru 2.360 2.360 2.587
```